Entry from Alexandria via LeMat-Bulk: a relaxed PuTl3Br8 crystal (GGA-PBE).

Cell and atoms, written as POSCAR:
```
PuTl3Br8
1.0
-3.748 3.748 7.401
3.748 -3.748 7.401
3.748 3.748 -7.401
Pu Tl Br
1 3 8
Direct
0.000 0.000 0.000 Pu
0.250 0.750 0.500 Tl
0.500 0.500 0.000 Tl
0.750 0.250 0.500 Tl
0.112 0.112 0.456 Br
0.112 0.656 0.000 Br
0.344 0.344 0.456 Br
0.344 0.888 0.000 Br
0.656 0.112 0.000 Br
0.656 0.656 0.544 Br
0.888 0.344 0.000 Br
0.888 0.888 0.544 Br
```

Computed properties:
total DFT energy (no corrections): -3.7959 eV per atom
volume: 34.660 A^3/atom